# 1
Compound: Ca2YSe
Source: Alexandria via LeMat-Bulk
Functional: meta-GGA SCAN
Structure: single point on PBEsol structure

Geometry as extended XYZ:
```
4
Lattice="2.491 -2.596 0.000 2.491 2.596 0.000 0.000 0.000 9.110" Properties=species:S:1:pos:R:3 pbc="T T T"
Ca 0.000 0.000 1.711
Ca 0.000 0.000 7.399
Y 2.491 0.000 4.555
Se 2.491 0.000 0.000
```

Space-group type   Cmmm, No. 65
Magnetization   0.4 μB/f.u.
D(E_F)   0.8209 states/eV/atom
ΔE_f (raw)   -0.855 eV/atom
Excess energy over the best structure of this formula in the dataset   0.00 eV per formula unit

=====

# 2
Compound: Zn2InMo
Source: Alexandria via LeMat-Bulk
Functional: meta-GGA SCAN
Structure: single point on PBEsol structure

Geometry as extended XYZ:
```
4
Lattice="2.835 -4.680 0.000 2.835 4.680 0.000 -1.350 0.000 2.456" Properties=species:S:1:pos:R:3 pbc="T T T"
Zn 1.418 2.340 0.000
Zn 1.418 -2.340 0.000
In -0.675 0.000 1.228
Mo 2.161 0.000 1.228
```

Space-group type   C2/m, No. 12
Magnetization   0.0 μB/f.u.
Calculated formation energy   228 meV per atom
D(E_F)   0.4480 states/eV/atom

=====

# 3
Compound: KZn2AsBr
Source: Alexandria via LeMat-Bulk
Functional: meta-GGA SCAN
Structure: single point on PBEsol structure

Geometry as extended XYZ:
```
5
Lattice="6.566 0.000 0.000 0.000 6.566 0.000 0.000 0.000 5.843" Properties=species:S:1:pos:R:3 pbc="T T T"
K 0.000 0.000 0.000
Zn 0.000 3.283 0.000
Zn 3.283 0.000 0.000
As 3.283 3.283 2.921
Br 0.000 0.000 2.921
```

Space-group type   P4/mmm, No. 123
Magnetization   3.0 μB/f.u.
ΔE_f (raw)   0.542 eV/atom

=====

# 4
Compound: Tl3IF
Source: Alexandria via LeMat-Bulk
Functional: meta-GGA SCAN
Structure: single point on PBEsol structure

Geometry as extended XYZ:
```
5
Lattice="6.369 0.000 0.000 0.000 6.369 0.000 0.000 0.000 6.369" Properties=species:S:1:pos:R:3 pbc="T T T"
Tl 0.000 0.000 3.184
Tl 0.000 3.184 0.000
Tl 3.184 0.000 0.000
I 0.000 0.000 0.000
F 3.184 3.184 3.184
```

Space-group type   Pm-3m, No. 221
Magnetization   0.0 μB/f.u.
D(E_F)   0.6230 states/eV/atom
ΔE_f (raw)   -0.089 eV/atom

=====

# 5
Compound: NiRhPb2
Source: Alexandria via LeMat-Bulk
Functional: meta-GGA SCAN
Structure: single point on PBEsol structure

Geometry as extended XYZ:
```
4
Lattice="1.677 0.968 7.704 -1.677 0.968 7.704 0.000 -1.936 7.704" Properties=species:S:1:pos:R:3 pbc="T T T"
Ni 0.000 0.000 0.000
Rh 0.000 0.000 11.556
Pb 0.000 0.000 5.851
Pb 0.000 0.000 17.260
```

Space-group type   R-3m, No. 166
Magnetization   0.0 μB/f.u.
Calculated formation energy   286 meV per atom
D(E_F)   0.7319 states/eV/atom
Excess energy over the best structure of this formula in the dataset   0.70 eV per formula unit

=====

# 6
Compound: Sb2TeSe
Source: Alexandria via LeMat-Bulk
Functional: meta-GGA SCAN
Structure: single point on PBEsol structure

Geometry as extended XYZ:
```
4
Lattice="3.906 -2.279 0.000 3.906 2.279 0.000 -2.656 0.000 6.125" Properties=species:S:1:pos:R:3 pbc="T T T"
Sb 1.288 0.000 1.370
Sb 3.867 0.000 4.755
Te -1.328 0.000 3.063
Se 3.906 0.000 0.000
```

Space-group type   C2/m, No. 12
Magnetization   0.0 μB/f.u.
D(E_F)   0.5088 states/eV/atom
ΔE_f (raw)   0.004 eV/atom

=====

# 7
Compound: YMgZr2
Source: Alexandria via LeMat-Bulk
Functional: meta-GGA SCAN
Structure: single point on PBEsol structure

Geometry as extended XYZ:
```
4
Lattice="-2.282 2.282 4.508 2.282 -2.282 4.508 2.282 2.282 -4.508" Properties=species:S:1:pos:R:3 pbc="T T T"
Y 0.000 0.000 0.000
Mg 2.282 0.000 2.254
Zr 0.000 0.000 4.508
Zr 0.000 2.282 2.254
```

Space-group type   I-4m2, No. 119
Magnetization   0.0 μB/f.u.
Calculated formation energy   108 meV per atom
D(E_F)   1.2392 states/eV/atom

=====

# 8
Compound: Na3MoP
Source: Alexandria via LeMat-Bulk
Functional: meta-GGA SCAN
Structure: single point on PBEsol structure

Geometry as extended XYZ:
```
5
Lattice="5.367 0.000 0.000 0.000 5.367 0.000 0.000 0.000 5.367" Properties=species:S:1:pos:R:3 pbc="T T T"
Na 0.000 0.000 2.683
Na 0.000 2.683 0.000
Na 2.683 0.000 0.000
Mo 2.683 2.683 2.683
P 0.000 0.000 0.000
```

Space-group type   Pm-3m, No. 221
Magnetization   6.0 μB/f.u.
Calculated formation energy   711 meV per atom
D(E_F)   0.1457 states/eV/atom

=====

# 9
Compound: KZnFe2
Source: Alexandria via LeMat-Bulk
Functional: meta-GGA SCAN
Structure: single point on PBEsol structure

Geometry as extended XYZ:
```
4
Lattice="2.685 0.000 0.000 0.000 2.685 0.000 0.000 0.000 9.064" Properties=species:S:1:pos:R:3 pbc="T T T"
K 0.000 0.000 0.000
Zn 0.000 0.000 4.532
Fe 1.343 1.343 2.836
Fe 1.343 1.343 6.228
```

Space-group type   P4/mmm, No. 123
Magnetization   5.3 μB/f.u.
Calculated formation energy   686 meV per atom
D(E_F)   0.5879 states/eV/atom

=====

# 10
Compound: ZrAlSi2
Source: Alexandria via LeMat-Bulk
Functional: meta-GGA SCAN
Structure: single point on PBEsol structure

Geometry as extended XYZ:
```
4
Lattice="1.551 0.895 8.120 -1.551 0.895 8.120 0.000 -1.790 8.120" Properties=species:S:1:pos:R:3 pbc="T T T"
Zr 0.000 0.000 0.000
Al 0.000 0.000 12.179
Si 0.000 0.000 5.970
Si 0.000 0.000 18.388
```

Space-group type   R-3m, No. 166
Magnetization   0.0 μB/f.u.
D(E_F)   0.3721 states/eV/atom
ΔE_f (raw)   -0.036 eV/atom

=====

# 11
Compound: NaTi3Br
Source: Alexandria via LeMat-Bulk
Functional: meta-GGA SCAN
Structure: single point on PBEsol structure

Geometry as extended XYZ:
```
5
Lattice="4.799 0.000 0.000 0.000 4.799 0.000 0.000 0.000 4.799" Properties=species:S:1:pos:R:3 pbc="T T T"
Na 0.000 0.000 0.000
Ti 0.000 0.000 2.399
Ti 0.000 2.399 0.000
Ti 2.399 0.000 0.000
Br 2.399 2.399 2.399
```

Space-group type   Pm-3m, No. 221
Magnetization   3.9 μB/f.u.
D(E_F)   1.1609 states/eV/atom
ΔE_f (raw)   1.642 eV/atom
Excess energy over the best structure of this formula in the dataset   4.89 eV per formula unit

=====

# 12
Compound: BiOF2
Source: Alexandria via LeMat-Bulk
Functional: meta-GGA SCAN
Structure: single point on PBEsol structure

Geometry as extended XYZ:
```
4
Lattice="0.000 2.855 2.855 2.855 0.000 2.855 2.855 2.855 0.000" Properties=species:S:1:pos:R:3 pbc="T T T"
Bi 0.000 0.000 0.000
O 2.855 2.855 2.855
F 1.428 1.428 1.428
F 4.283 4.283 4.283
```

Space-group type   Fm-3m, No. 225
Magnetization   1.0 μB/f.u.
D(E_F)   0.9384 states/eV/atom
ΔE_f (raw)   -1.185 eV/atom

=====

# 13
Compound: Na2SrZn
Source: Alexandria via LeMat-Bulk
Functional: meta-GGA SCAN
Structure: single point on PBEsol structure

Geometry as extended XYZ:
```
8
Lattice="-2.310 2.310 12.344 2.310 -2.310 12.344 2.310 2.310 -12.344" Properties=species:S:1:pos:R:3 pbc="T T T"
Na 3.465 0.992 -3.086
Na 0.992 1.155 3.086
Na -1.155 1.318 9.258
Na 1.318 1.155 15.429
Sr 2.310 0.000 6.172
Sr 0.000 0.000 12.344
Zn 0.000 0.000 0.000
Zn 0.000 2.310 6.172
```

Space-group type   I-42d, No. 122
Magnetization   0.0 μB/f.u.
Calculated formation energy   92 meV per atom
D(E_F)   0.6591 states/eV/atom